# 1
The following is a DFT calculation (PBE-GGA) of a relaxed V3FeAu crystal.

Cell and atoms, written as POSCAR:
```
V3FeAu
1.0
4.2855 0.0000 0.0000
0.0000 4.2855 0.0000
0.0000 0.0000 4.2855
Au Fe V
1 1 3
Cartesian
2.1427 2.1427 2.1427
0.0000 0.0000 0.0000
0.0000 2.1427 0.0000
0.0000 0.0000 2.1427
2.1427 0.0000 0.0000
```

Properties
The space-group type is Pm-3m, No. 221. The calculation puts the distance to the lowest polymorph of the same formula at 0.0 meV per atom. As for the raw total energy: -7.2379 eV per atom.



# 2
The following is a DFT calculation (PBE-GGA) of a relaxed Fe2WAu crystal.

Cell and atoms, written as POSCAR:
```
Fe2WAu
1.0
-0.1110 -3.1890 3.3276
3.5701 -1.0892 -2.7060
1.6689 1.5771 1.5671
Au Fe W
1 2 1
Cartesian
2.6195 0.2440 -0.5695
0.0000 0.0000 0.0000
1.7296 -2.1391 0.3108
0.7789 -0.8060 2.4473
```

Properties
The space-group type is Cmmm, No. 65. The calculation puts the distance to the lowest polymorph of the same formula at 113.5 meV per atom. As for the raw total energy: -7.9659 eV per atom.



# 3
The following is a DFT calculation (PBE-GGA) of a relaxed FeW2Au crystal.

Cell and atoms, written as POSCAR:
```
FeW2Au
1.0
3.7756 0.0000 0.0000
0.0000 3.7756 0.0000
1.8878 1.8878 9.2493
Au Fe W
2 2 4
Cartesian
0.0000 0.0000 0.0000
3.7756 1.8878 4.6247
1.8878 1.8878 0.0000
1.8878 3.7756 4.6247
2.7571 0.9439 2.3123
1.0185 2.8317 2.3123
2.8317 2.9063 6.9370
4.7195 4.6449 6.9370
```

Properties
The space-group type is I-42d, No. 122. The calculation puts the distance to the lowest polymorph of the same formula at 722.6 meV per atom. As for the raw total energy: -8.4664 eV per atom.



# 4
The following is a DFT calculation (PBE-GGA) of a relaxed FeW2Au crystal.

Cell and atoms, written as POSCAR:
```
FeW2Au
1.0
4.9108 -0.0496 -0.0080
-1.8564 4.5466 -0.0080
0.0071 0.0104 2.7423
Au Fe W
1 1 2
Cartesian
2.4589 -0.0196 1.3671
-0.9247 2.2785 1.3671
0.0000 0.0000 0.0000
1.5272 2.2485 -0.0080
```

Properties
The space-group type is Cmmm, No. 65. The calculation puts the distance to the lowest polymorph of the same formula at 164.1 meV per atom. As for the raw total energy: -9.0249 eV per atom.



# 5
The following is a DFT calculation (PBE-GGA) of a relaxed Fe2WAu crystal.

Cell and atoms, written as POSCAR:
```
Fe2WAu
1.0
-0.9856 -2.0928 -2.6075
-0.9781 -2.7855 2.6053
-3.6479 1.4683 0.2004
Au Fe W
1 2 1
Cartesian
-2.3168 -0.3122 -1.2036
0.0000 0.0000 0.0000
-2.3130 -0.6586 1.4029
-0.9818 -2.4391 -0.0011
```

Properties
The space-group type is P4/mmm, No. 123. The calculation puts the distance to the lowest polymorph of the same formula at 89.4 meV per atom. As for the raw total energy: -7.9901 eV per atom.



# 6
The following is a DFT calculation (PBE-GGA) of a relaxed FeW2Au crystal.

Cell and atoms, written as POSCAR:
```
FeW2Au
1.0
-0.9218 -2.5701 0.0055
2.4608 -0.8843 -0.7860
2.2494 -0.7897 7.9314
Au Fe W
1 1 2
Cartesian
1.1568 -0.4061 4.0789
2.4785 -2.3272 5.6357
2.2007 -0.7727 7.7597
1.3265 -1.9228 1.5738
```

Properties
The space-group type is P4mm, No. 99. The calculation puts the distance to the lowest polymorph of the same formula at 91.3 meV per atom. As for the raw total energy: -9.0977 eV per atom.



# 7
The following is a DFT calculation (PBE-GGA) of a relaxed FeW4Au crystal.

Cell and atoms, written as POSCAR:
```
FeW4Au
1.0
3.6265 3.6368 1.0561
-0.8491 3.5273 3.7856
2.7315 -0.2417 4.4692
Fe W Au
1 4 1
Cartesian
0.0000 0.0000 0.0000
3.8812 4.4161 4.0185
3.4328 2.4732 5.7282
1.6392 4.3612 5.3858
2.0646 2.5943 3.4894
4.1317 5.1918 6.9832
```

Properties
The space-group type is F-43m, No. 216. As for the raw total energy: -9.9163 eV per atom.



# 8
The following is a DFT calculation (PBE-GGA) of a relaxed Fe2WAu crystal.

Cell and atoms, written as POSCAR:
```
Fe2WAu
1.0
4.5918 0.0426 -0.0894
3.7570 2.6403 -0.0894
0.7769 0.2497 4.8272
Au Fe W
1 2 1
Cartesian
6.8442 2.1995 3.4863
0.0168 0.0054 0.0893
4.5461 1.4609 2.2349
2.2814 0.7332 1.1621
```

Properties
The space-group type is C2/m, No. 12. The calculation puts the distance to the lowest polymorph of the same formula at 103.6 meV per atom. As for the raw total energy: -7.9758 eV per atom.



Spin magnetization
In order: 0.00 3.51 0.00 1.41 1.08 1.78 1.90 4.34
Unit: μB/cell
Calculated volume
In order: 78.7 56.7 131.9 61.0 54.0 61.7 101.9 58.0
Unit: Å³/cell